1.
A plane-wave DFT calculation with PBE was carried out for a relaxed Tm5Ge4H crystal.

For the total energy, the calculation gives -50.16 eV for the cell shown.

Cell: 5.7194 6.9679 6.9679 Å, 80.30 65.77 65.77°
Closest atoms and distances in Å follow each position.
Element x y z (fractional)
H  0.0527  0.0000  0.0000  1 Tm 2.32
Tm  0.0970  0.6044  0.2000  1 H 2.83, 5 Ge 2.84-2.88
Ge  0.6013  0.6027  0.1962  6 Tm 2.83-2.88
Ge  0.4002  0.3973  0.8038  6 Tm 2.83-2.88
Tm  0.2970  0.8000  0.6044  1 H 2.83, 5 Ge 2.84-2.88
Tm  0.9014  0.3956  0.8000  1 H 2.83, 5 Ge 2.84-2.88
Tm  0.4579  0.0000  0.0000  1 H 2.32
Ge  0.7974  0.8038  0.6027  6 Tm 2.83-2.88
Ge  0.2040  0.1962  0.3973  6 Tm 2.83-2.88
Tm  0.7014  0.2000  0.3956  1 H 2.83, 5 Ge 2.84-2.88

---

2.
A plane-wave DFT calculation with PBE was carried out for a relaxed ZrNi2Bi2 crystal.

For the total energy, the calculation gives -56.37 eV for the cell shown.

Cell: 7.1292 7.1292 3.8276 Å, 90.00 90.00 90.00°
Closest atoms and distances in Å follow each position.
Element x y z (fractional)
Bi  0.6787  0.8213  0.5000  6 Ni 2.79-2.89
Ni  0.8800  0.6200  0.0000  1 Ni 2.42
Zr  0.0000  0.0000  0.0000  4 Ni 2.84
Bi  0.3213  0.1787  0.5000  6 Ni 2.79-2.89
Ni  0.1200  0.3800  0.0000  1 Ni 2.42
Ni  0.3800  0.8800  0.0000  1 Ni 2.42
Bi  0.1787  0.6787  0.5000  6 Ni 2.79-2.89
Ni  0.6200  0.1200  0.0000  1 Ni 2.42
Bi  0.8213  0.3213  0.5000  6 Ni 2.79-2.89
Zr  0.5000  0.5000  0.0000  4 Ni 2.84

---

3.
A plane-wave DFT calculation with PBE was carried out for a relaxed MnBeS2N crystal.

For the total energy, the calculation gives -27.21 eV for the cell shown. Its raw formation energy is 0.45 eV per atom. Its energy above the most stable polymorph in this dataset is 0 meV per atom.

Cell: 4.6334 4.6334 3.1681 Å, 90.00 90.00 90.00°
Closest atoms and distances in Å follow each position.
Element x y z (fractional)
N  0.0000  0.0000  0.5000  2 Be 1.58
S  0.0000  0.5000  0.0000  2 Be 2.32
Be  0.0000  0.0000  0.0000  2 N 1.58
S  0.5000  0.0000  0.0000  2 Be 2.32
Mn  0.5000  0.5000  0.5000  8 S 2.81

---

4.
A plane-wave DFT calculation with PBE was carried out for a relaxed GdPuTc2 crystal.

For the total energy, the calculation gives -48.64 eV for the cell shown.

Cell: 3.3775 4.8291 4.8291 Å, 90.00 90.00 90.00°
Closest atoms and distances in Å follow each position.
Element x y z (fractional)
Tc  0.0000  0.0000  0.5000  4 Gd 2.95, 4 Pu 2.95
Gd  0.5000  0.5000  0.5000  8 Tc 2.95
Tc  0.0000  0.5000  0.0000  4 Gd 2.95, 4 Pu 2.95
Pu  0.5000  0.0000  0.0000  8 Tc 2.95

---

5.
A plane-wave DFT calculation with PBE was carried out for a relaxed Ac2InNi2 crystal.

For the total energy, the calculation gives -24.38 eV for the cell shown.

Cell: 4.0701 4.1497 7.9168 Å, 105.19 90.00 90.00°
Closest atoms and distances in Å follow each position.
Element x y z (fractional)
Ni  0.0000  0.2038  0.4076  2 Ni 2.51
Ni  0.0000  0.7962  0.5924  2 Ni 2.51
Ac  0.5000  0.6376  0.2753  6 Ni 3.08-3.16
In  0.0000  0.0000  0.0000  2 Ni 3.11
Ac  0.5000  0.3624  0.7247  6 Ni 3.08-3.16

---

6.
A plane-wave DFT calculation with PBE was carried out for a relaxed SrNdCuHg crystal.

For the total energy, the calculation gives -11.73 eV for the cell shown.

Cell: 5.3784 5.3784 5.3784 Å, 60.00 60.00 60.00°
Closest atoms and distances in Å follow each position.
Element x y z (fractional)
Nd  0.7500  0.7500  0.7500  4 Hg 3.29, 4 Cu 3.29
Cu  0.5000  0.5000  0.5000  4 Nd 3.29, 4 Sr 3.29
Sr  0.2500  0.2500  0.2500  4 Hg 3.29, 4 Cu 3.29
Hg  0.0000  0.0000  0.0000  4 Sr 3.29, 4 Nd 3.29

---

7.
A plane-wave DFT calculation with PBE was carried out for a relaxed Hf2ScRu crystal.

For the total energy, the calculation gives -36.28 eV for the cell shown. Its energy above the most stable polymorph in this dataset is 78 meV per atom.

Cell: 3.3249 4.7913 4.7913 Å, 90.00 90.00 90.00°
Closest atoms and distances in Å follow each position.
Element x y z (fractional)
Hf  0.0000  0.0000  0.5000  4 Ru 2.92, 4 Sc 2.92
Sc  0.5000  0.0000  0.0000  8 Hf 2.92
Ru  0.5000  0.5000  0.5000  8 Hf 2.92
Hf  0.0000  0.5000  0.0000  4 Ru 2.92, 4 Sc 2.92

---

8.
A plane-wave DFT calculation with PBE was carried out for a relaxed RbZr3P crystal.

For the total energy, the calculation gives -30.55 eV for the cell shown. Its energy above the most stable polymorph in this dataset is 0 meV per atom.

Cell: 5.1189 5.1189 5.1189 Å, 90.00 90.00 90.00°
Closest atoms and distances in Å follow each position.
Element x y z (fractional)
Zr  0.0000  0.5000  0.0000  2 P 2.56
P  0.0000  0.0000  0.0000  6 Zr 2.56
Zr  0.5000  0.0000  0.0000  2 P 2.56
Rb  0.5000  0.5000  0.5000  12 Zr 3.62
Zr  0.0000  0.0000  0.5000  2 P 2.56

---

9.
A plane-wave DFT calculation with PBE was carried out for a relaxed SnPIrCl2 crystal.

For the total energy, the calculation gives -16.44 eV for the cell shown. Its raw formation energy is 1.11 eV per atom. Its energy above the most stable polymorph in this dataset is 951 meV per atom.

Cell: 4.9569 4.9569 5.3923 Å, 90.00 90.00 90.00°
Closest atoms and distances in Å follow each position.
Element x y z (fractional)
Sn  0.0000  0.0000  0.0000  4 Cl 2.48, 2 P 2.70
P  0.0000  0.0000  0.5000  2 Sn 2.70
Cl  0.0000  0.5000  0.0000  2 Sn 2.48
Ir  0.5000  0.5000  0.5000  4 P 3.51, 8 Cl 3.66
Cl  0.5000  0.0000  0.0000  2 Sn 2.48

---

10.
A plane-wave DFT calculation with PBE was carried out for a relaxed CaAlPd crystal.

For the total energy, the calculation gives -52.53 eV for the cell shown.

Cell: 5.6251 5.7295 7.8717 Å, 90.00 90.00 90.00°
Closest atoms and distances in Å follow each position.
Element x y z (fractional)
Pd  0.2500  0.8702  0.4745  4 Al 2.59-2.63
Al  0.5000  0.8938  0.7500  4 Pd 2.59-2.63, 2 Al 2.81
Pd  0.7500  0.1298  0.5255  4 Al 2.59-2.63
Pd  0.7500  0.8702  0.0255  4 Al 2.59-2.63
Ca  0.2500  0.3631  0.5998  5 Pd 2.99-3.24, 2 Al 3.26
Al  0.5000  0.1062  0.2500  4 Pd 2.59-2.63, 2 Al 2.81
Ca  0.7500  0.6369  0.4002  5 Pd 2.99-3.24, 2 Al 3.26
Al  0.0000  0.1062  0.2500  4 Pd 2.59-2.63, 2 Al 2.81
Ca  0.7500  0.3631  0.9002  5 Pd 2.99-3.24, 2 Al 3.26
Ca  0.2500  0.6369  0.0998  5 Pd 2.99-3.24, 2 Al 3.26
Pd  0.2500  0.1298  0.9745  4 Al 2.59-2.63
Al  0.0000  0.8938  0.7500  4 Pd 2.59-2.63, 2 Al 2.81

---

11.
A plane-wave DFT calculation with PBE was carried out for a relaxed Bi2PtI2 crystal.

For the total energy, the calculation gives -36.00 eV for the cell shown. Its raw formation energy is -0.22 eV per atom. Its energy above the most stable polymorph in this dataset is 0 meV per atom.

Cell: 6.4764 6.2098 10.3439 Å, 110.03 110.51 82.60°
Closest atoms and distances in Å follow each position.
Element x y z (fractional)
I  0.8663  0.1095  0.6824  1 Pt 2.80
I  0.6846  0.4309  0.3178  1 Pt 2.81
I  0.3154  0.5691  0.6822  1 Pt 2.81
Bi  0.3879  0.1835  0.9073  2 Pt 2.74-2.82
Bi  0.0203  0.7227  0.9075  2 Pt 2.74-2.82
Pt  0.6905  0.4402  0.8806  4 Bi 2.74-2.82, 2 I 2.80-2.81
I  0.1337  0.8905  0.3176  1 Pt 2.80
Bi  0.9797  0.2773  0.0925  2 Pt 2.74-2.82
Pt  0.3095  0.5598  0.1194  4 Bi 2.74-2.82, 2 I 2.80-2.81
Bi  0.6121  0.8165  0.0927  2 Pt 2.74-2.82

---

12.
A plane-wave DFT calculation with PBE was carried out for a relaxed Ga2ReAg crystal.

For the total energy, the calculation gives -37.97 eV for the cell shown. Its energy above the most stable polymorph in this dataset is 269 meV per atom.

Cell: 4.0211 4.0211 9.3188 Å, 77.54 77.54 90.00°
Closest atoms and distances in Å follow each position.
Element x y z (fractional)
Re  0.7500  0.2500  0.5000  4 Ga 2.57, 4 Ag 2.84
Ga  0.8750  0.9175  0.7500  2 Re 2.57, 2 Ga 2.61, 2 Ag 2.70
Re  0.0000  0.0000  0.0000  4 Ga 2.57, 4 Ag 2.84
Ga  0.3750  0.3325  0.7500  2 Re 2.57, 2 Ga 2.61, 2 Ag 2.70
Ga  0.0825  0.6250  0.2500  2 Re 2.57, 2 Ga 2.61, 2 Ag 2.70
Ag  0.2500  0.7500  0.5000  4 Ga 2.70, 4 Re 2.84
Ga  0.6675  0.1250  0.2500  2 Re 2.57, 2 Ga 2.61, 2 Ag 2.70
Ag  0.5000  0.5000  0.0000  4 Ga 2.70, 4 Re 2.84